ZrV3Pd GGA-PBE relaxed; formation energy from the elements = 1.059 eV/atom; energy relative to the lowest polymorph listed for this composition = 0.00 kcal/mol of atoms; spin magnetization = 2.9 Bohr magnetons per cell
1.0
-1.512 -0.318 -4.362
4.092 -1.731 -1.292
-1.543 -4.279 0.847
V Zr Pd
3 1 1
Cartesian
-0.772 -2.140 0.423 V
-0.756 -0.159 -2.181 V
2.046 -0.866 -0.646 V
0.518 -3.164 -2.404 Zr
0.000 0.000 0.000 Pd